No. 1
# YTc2As

A PBEsol-optimized structure of YTc2As (meta-GGA SCAN, Alexandria via LeMat-Bulk).

Summary:
M_tot: 0.00 μB per cell
energy of formation: 1.081 eV/f.u.
energy above the lowest structure with this stoichiometry: 0.412 eV per atom
energy: -29.268 eV/atom

Cell and atoms, written as CIF:
```
data_YTc2As
_space_group_name_H-M_alt 'C m m m'
_space_group_IT_number 65
_space_group_name_Hall '-C 2 2'
_cell_length_a 3.3348
_cell_length_b 5.0011
_cell_length_c 8.1957
_cell_angle_alpha 90.00
_cell_angle_beta 90.00
_cell_angle_gamma 90.00
loop_
_atom_site_label
_atom_site_fract_x
_atom_site_fract_y
_atom_site_fract_z
Y1 0.0000 0.0000 0.0000
Tc1 0.0000 0.5000 0.2833
As1 0.0000 0.0000 0.5000
```

---

No. 2
# YTc2As

A PBEsol-optimized structure of YTc2As (meta-GGA SCAN, Alexandria via LeMat-Bulk).

Summary:
M_tot: 0.00 μB per cell
energy of formation: 0.282 eV/f.u.
energy above the lowest structure with this stoichiometry: 0.212 eV per atom
energy: -29.468 eV/atom

Cell and atoms, written as CIF:
```
data_YTc2As
_space_group_name_H-M_alt 'I 4/m m m'
_space_group_IT_number 139
_space_group_name_Hall '-I 4 2'
_cell_length_a 3.7808
_cell_length_b 3.7808
_cell_length_c 9.5861
_cell_angle_alpha 90.00
_cell_angle_beta 90.00
_cell_angle_gamma 90.00
loop_
_atom_site_label
_atom_site_fract_x
_atom_site_fract_y
_atom_site_fract_z
Y1 0.0000 0.0000 0.0000
Tc1 0.0000 0.5000 0.2500
As1 0.0000 0.0000 0.5000
```

---

Question: Number 1 is which compound?
Answer: YTc2As